[1]
CsRbHf2In | PBE-GGA | optimized geometry

abc: 5.591 5.591 6.202
angles: 90.00 90.00 90.00
Fractional coordinates of all 5 atoms:
Cs (0.000, 0.000, 0.000)
Rb (0.500, 0.500, 0.500)
Hf (0.000, 0.500, 0.500)
Hf (0.500, 0.000, 0.500)
In (0.500, 0.500, 0.000)

Results
Energy of formation in eV/atom: 2.00

***

[2]
Cs2HfInRe | PBE-GGA | optimized geometry

abc: 7.127 7.127 4.793
angles: 90.00 90.00 90.00
Fractional coordinates of all 5 atoms:
Cs (0.000, 0.500, 0.000)
Cs (0.500, 0.000, 0.000)
Hf (0.000, 0.000, 0.000)
In (0.500, 0.500, 0.500)
Re (0.000, 0.000, 0.500)

Results
Energy of formation in eV/atom: 1.48

***

[3]
Cs2HfInS | PBE-GGA | optimized geometry

abc: 7.464 7.464 5.010
angles: 90.00 90.00 90.00
Fractional coordinates of all 5 atoms:
Cs (0.000, 0.500, 0.000)
Cs (0.500, 0.000, 0.000)
Hf (0.000, 0.000, 0.500)
In (0.500, 0.500, 0.000)
S (0.500, 0.500, 0.500)

Results
Energy relative to the elements, uncorrected in meV per atom: 884

***

[4]
Cs2HfInSe4 | PBE-GGA | optimized geometry

abc: 14.848 13.282 8.291
angles: 83.56 62.74 33.70
Fractional coordinates of all 16 atoms:
Cs (0.055, 0.055, 0.695)
Cs (0.305, 0.305, 0.945)
Cs (0.695, 0.695, 0.055)
Cs (0.945, 0.945, 0.305)
Hf (0.125, 0.125, 0.125)
Hf (0.875, 0.875, 0.875)
In (0.375, 0.375, 0.375)
In (0.625, 0.625, 0.625)
Se (0.053, 0.305, 0.388)
Se (0.246, 0.612, 0.695)
Se (0.305, 0.053, 0.754)
Se (0.388, 0.754, 0.053)
Se (0.612, 0.246, 0.947)
Se (0.695, 0.947, 0.246)
Se (0.754, 0.388, 0.305)
Se (0.947, 0.695, 0.612)

Results
Energy relative to the elements, uncorrected in meV per atom: -1076

***

[5]
Cs2SrHfIn | PBE-GGA | optimized geometry

abc: 6.911 6.911 6.610
angles: 90.00 90.00 90.00
Fractional coordinates of all 5 atoms:
Cs (0.000, 0.500, 0.000)
Cs (0.500, 0.000, 0.000)
Sr (0.000, 0.000, 0.500)
Hf (0.000, 0.000, 0.000)
In (0.500, 0.500, 0.500)

Results
Energy of formation in eV/atom: 1.15

***

[6]
CsHf2InTc | PBE-GGA | optimized geometry

abc: 5.102 5.102 5.751
angles: 90.00 90.00 90.00
Fractional coordinates of all 5 atoms:
Cs (0.000, 0.000, 0.000)
Hf (0.000, 0.500, 0.500)
Hf (0.500, 0.000, 0.500)
In (0.500, 0.500, 0.000)
Tc (0.000, 0.000, 0.500)

Results
Energy of formation in eV/atom: 0.99

***

[7]
Cs2HfInTe5 | PBE-GGA | optimized geometry

abc: 11.676 11.676 16.445
angles: 90.00 90.00 159.27
Fractional coordinates of all 18 atoms:
Cs (0.135, 0.865, 0.500)
Cs (0.135, 0.865, 0.877)
Cs (0.865, 0.135, 0.000)
Cs (0.865, 0.135, 0.377)
Hf (0.207, 0.793, 0.203)
Hf (0.793, 0.207, 0.703)
In (0.430, 0.570, 0.608)
In (0.570, 0.430, 0.108)
Te (0.072, 0.928, 0.223)
Te (0.300, 0.700, 0.821)
Te (0.306, 0.694, 0.574)
Te (0.326, 0.674, 0.189)
Te (0.494, 0.506, 0.467)
Te (0.506, 0.494, 0.967)
Te (0.674, 0.326, 0.689)
Te (0.694, 0.306, 0.074)
Te (0.700, 0.300, 0.321)
Te (0.928, 0.072, 0.723)

Results
Energy relative to the elements, uncorrected in meV per atom: -727

***

[8]
Cs2HfZrIn | PBE-GGA | optimized geometry

abc: 6.809 6.809 5.164
angles: 90.00 90.00 90.00
Fractional coordinates of all 5 atoms:
Cs (0.000, 0.500, 0.000)
Cs (0.500, 0.000, 0.000)
Hf (0.000, 0.000, 0.500)
Zr (0.000, 0.000, 0.000)
In (0.500, 0.500, 0.500)

Results
Energy of formation in eV/atom: 1.30

***

[9]
Cs2HfIr2 | PBE-GGA | optimized geometry

abc: 6.790 6.790 6.296
angles: 90.00 90.00 90.00
Fractional coordinates of all 10 atoms:
Cs (0.181, 0.319, 0.000)
Cs (0.319, 0.819, 0.000)
Cs (0.681, 0.181, 0.000)
Cs (0.819, 0.681, 0.000)
Hf (0.000, 0.000, 0.500)
Hf (0.500, 0.500, 0.500)
Ir (0.131, 0.631, 0.500)
Ir (0.369, 0.131, 0.500)
Ir (0.631, 0.869, 0.500)
Ir (0.869, 0.369, 0.500)

Results
Energy of formation in eV/atom: 0.50

***

[10]
CsHfIr2 | PBE-GGA | optimized geometry

abc: 7.728 7.728 6.283
angles: 90.00 90.00 90.00
Fractional coordinates of all 16 atoms:
Cs (0.000, 0.000, 0.000)
Cs (0.000, 0.500, 0.250)
Cs (0.500, 0.000, 0.750)
Cs (0.500, 0.500, 0.500)
Hf (0.000, 0.000, 0.500)
Hf (0.000, 0.500, 0.750)
Hf (0.500, 0.000, 0.250)
Hf (0.500, 0.500, 0.000)
Ir (0.205, 0.250, 0.625)
Ir (0.250, 0.705, 0.875)
Ir (0.250, 0.795, 0.375)
Ir (0.295, 0.250, 0.125)
Ir (0.705, 0.750, 0.125)
Ir (0.750, 0.205, 0.375)
Ir (0.750, 0.295, 0.875)
Ir (0.795, 0.750, 0.625)

Results
Energy of formation in eV/atom: 0.74
Excess energy over the best structure of this formula in the dataset in meV/atom: 0.0

***

[11]
CsHfIr3 | PBE-GGA | optimized geometry

abc: 4.911 4.911 4.911
angles: 90.00 90.00 90.00
Fractional coordinates of all 5 atoms:
Cs (0.000, 0.000, 0.000)
Hf (0.500, 0.500, 0.500)
Ir (0.000, 0.000, 0.500)
Ir (0.000, 0.500, 0.000)
Ir (0.500, 0.000, 0.000)

Results
Energy of formation in eV/atom: 2.65

***

[12]
CsHf3Ir | PBE-GGA | optimized geometry

abc: 5.213 5.213 5.213
angles: 90.00 90.00 90.00
Fractional coordinates of all 5 atoms:
Cs (0.000, 0.000, 0.000)
Hf (0.000, 0.500, 0.500)
Hf (0.500, 0.000, 0.500)
Hf (0.500, 0.500, 0.000)
Ir (0.500, 0.500, 0.500)

Results
Energy of formation in eV/atom: 0.51
Excess energy over the best structure of this formula in the dataset in meV/atom: 0.0

***

Number 1: Fermi-level density of states 9.2 states/eV per cell. Number 2: Fermi-level density of states 6.6 states/eV per cell. Number 3: Fermi-level density of states 6.6 states/eV per cell. Number 4: Fermi-level density of states 7.6 states/eV per cell. Number 5: Fermi-level density of states 6.5 states/eV per cell. Number 6: Fermi-level density of states 5.1 states/eV per cell. Number 7: Fermi-level density of states 9.9 states/eV per cell. Number 8: Fermi-level density of states 7.1 states/eV per cell. Number 9: Fermi-level density of states 5.2 states/eV per cell. Number 10: Fermi-level density of states 9.9 states/eV per cell. Number 11: Fermi-level density of states 2.1 states/eV per cell. Number 12: Fermi-level density of states 9.4 states/eV per cell.